(1)
# ReNi4, optimized geometry, DFT PBE-GGA
# DFT total energy   -7.118 eV per atom
# ρ   11.95 g cm⁻³
# Energy of formation   -3 meV/atom
# E above lowest polymorph   53 meV per atom
data_ReNi4
_chemical_formula_sum 'Re2 Ni8'
_cell_length_a 2.568
_cell_length_b 3.630
_cell_length_c 12.547
_cell_angle_alpha 90.00
_cell_angle_beta 90.00
_cell_angle_gamma 90.00
_symmetry_space_group_name_H-M 'I m m m'
_symmetry_Int_Tables_number 71
_symmetry_space_group_name_Hall '-I 2 2'
loop_
_atom_site_label
_atom_site_fract_x
_atom_site_fract_y
_atom_site_fract_z
Re1 0.000 0.000 0.000
Ni1 0.000 0.000 0.200
Ni2 0.000 0.000 0.398



(2)
# ReNi2, optimized geometry, DFT PBE-GGA
# DFT total energy   -7.523 eV per atom
# ρ   12.35 g cm⁻³
# Energy of formation   481 meV/atom
# E above lowest polymorph   531 meV per atom
data_ReNi2
_chemical_formula_sum 'Re4 Ni8'
_cell_length_a 5.784
_cell_length_b 5.784
_cell_length_c 4.879
_cell_angle_alpha 90.00
_cell_angle_beta 90.00
_cell_angle_gamma 90.00
_symmetry_space_group_name_H-M 'I 4/m c m'
_symmetry_Int_Tables_number 140
_symmetry_space_group_name_Hall '-I 4 2c'
loop_
_atom_site_label
_atom_site_fract_x
_atom_site_fract_y
_atom_site_fract_z
Re1 0.000 0.000 0.250
Ni1 0.139 0.361 0.000



(3)
# Re3Ni, optimized geometry, DFT PBE-GGA
# DFT total energy   -10.655 eV per atom
# ρ   18.12 g cm⁻³
# Energy of formation   126 meV/atom
data_Re3Ni
_chemical_formula_sum 'Re6 Ni2'
_cell_length_a 4.837
_cell_length_b 4.837
_cell_length_c 4.837
_cell_angle_alpha 90.00
_cell_angle_beta 90.00
_cell_angle_gamma 90.00
_symmetry_space_group_name_H-M 'P m -3 n'
_symmetry_Int_Tables_number 223
_symmetry_space_group_name_Hall '-P 4n 2 3'
loop_
_atom_site_label
_atom_site_fract_x
_atom_site_fract_y
_atom_site_fract_z
Re1 0.000 0.250 0.500
Ni1 0.000 0.000 0.000



(4)
# ReNi3, optimized geometry, DFT PBE-GGA
# DFT total energy   -7.454 eV per atom
# ρ   12.80 g cm⁻³
# Energy of formation   -5 meV/atom
data_ReNi3
_chemical_formula_sum 'Re2 Ni6'
_cell_length_a 4.204
_cell_length_b 5.071
_cell_length_c 4.410
_cell_angle_alpha 90.00
_cell_angle_beta 90.00
_cell_angle_gamma 90.00
_symmetry_space_group_name_H-M 'P m m n'
_symmetry_Int_Tables_number 59
loop_
_symmetry_equiv_pos_as_xyz
'x,y,z'
'-x,-y,-z'
'-x+1/2,-y+1/2,z'
'x+1/2,y+1/2,-z'
'x+1/2,-y,-z'
'-x+1/2,y,z'
'-x,y+1/2,-z'
'x,-y+1/2,z'
loop_
_atom_site_label
_atom_site_fract_x
_atom_site_fract_y
_atom_site_fract_z
Re1 0.250 0.250 0.162
Ni1 0.250 0.501 0.662
Ni2 0.250 0.750 0.155



(5)
# ReNi2, optimized geometry, DFT PBE-GGA
# DFT total energy   -8.045 eV per atom
# ρ   13.83 g cm⁻³
# Energy of formation   -41 meV/atom
# E above lowest polymorph   9 meV per atom
data_ReNi2
_chemical_formula_sum 'Re4 Ni8'
_cell_length_a 7.685
_cell_length_b 4.471
_cell_length_c 4.244
_cell_angle_alpha 90.00
_cell_angle_beta 90.00
_cell_angle_gamma 90.00
_symmetry_space_group_name_H-M 'C m c m'
_symmetry_Int_Tables_number 63
_symmetry_space_group_name_Hall '-C 2c 2'
loop_
_atom_site_label
_atom_site_fract_x
_atom_site_fract_y
_atom_site_fract_z
Re1 0.000 0.171 0.250
Ni1 0.170 0.334 0.750



(6)
# ReNi3, optimized geometry, DFT PBE-GGA
# DFT total energy   -7.275 eV per atom
# ρ   12.45 g cm⁻³
# Energy of formation   173 meV/atom
data_ReNi3
_chemical_formula_sum 'Re3 Ni9'
_cell_length_a 8.1367
_cell_length_b 8.1367
_cell_length_c 2.5280
_cell_angle_alpha 90.00
_cell_angle_beta 90.00
_cell_angle_gamma 120.00
_symmetry_space_group_name_H-M 'R -3 m'
_symmetry_Int_Tables_number 166
_symmetry_space_group_name_Hall '-R 3 2"'
loop_
_atom_site_label
_atom_site_fract_x
_atom_site_fract_y
_atom_site_fract_z
Re1 0.0000 0.0000 0.0000
Ni1 0.0000 0.5000 0.0000



Q: energy of formation of number 3 (Re3Ni)?
A: 126 meV/atom